No. 1
Density functional theory data (GGA-PBE) for an optimized crystal structure of MnRe2Ni.

a = 3.7887 Å, b = 3.7887 Å, c = 7.3763 Å
α = 90.00°, β = 90.00°, γ = 90.00°
Closest atoms and distances in Å follow each position.
Space group I-4m2 (No. 119)
Unique sites:
Mn  0.0000  0.0000  0.0000  8 Re 2.64-2.68, 4 Ni 2.64
Re  0.0000  0.0000  0.5000  4 Re 2.64, 4 Ni 2.64, 4 Mn 2.68
Re  0.0000  0.5000  0.2500  4 Mn 2.64, 4 Re 2.64, 4 Ni 2.68
Ni  0.0000  0.5000  0.7500  4 Mn 2.64, 8 Re 2.64-2.68

Summary:
Offset from the most stable computed form   0.000 eV/f.u.



No. 2
Density functional theory data (GGA-PBE) for an optimized crystal structure of Sr5LaS6.

a = 7.3693 Å, b = 12.7622 Å, c = 7.3700 Å
α = 90.00°, β = 109.46°, γ = 90.00°
Closest atoms and distances in Å follow each position.
Space group C2/m (No. 12)
Unique sites:
Sr  0.0000  0.0000  0.0000  6 S 3.01-3.07
Sr  0.0000  0.1664  0.5000  6 S 3.01-3.02
Sr  0.0000  0.3319  0.0000  6 S 3.01-3.05
La  0.0000  0.5000  0.5000  6 S 2.95
S  0.2442  0.5000  0.2538  1 La 2.95, 5 Sr 3.01-3.07
S  0.2453  0.3367  0.7459  1 La 2.95, 5 Sr 3.01-3.05

Summary:
Total DFT energy (no corrections)   -5.30 eV/atom



No. 3
Density functional theory data (GGA-PBE) for an optimized crystal structure of Rb2Hg3Pb.

a = 12.4763 Å, b = 5.4097 Å, c = 8.9386 Å
α = 90.00°, β = 133.12°, γ = 90.00°
Closest atoms and distances in Å follow each position.
Space group Cm (No. 8)
Unique sites:
Rb  0.0000  0.0000  0.0000  8 Hg 3.67-3.98, 3 Pb 3.83-4.10
Rb  0.1277  0.0000  0.6361  9 Hg 3.66-4.08, 3 Pb 3.83-3.86
Hg  0.2306  0.5000  0.4171  3 Hg 3.18-3.22, 1 Pb 3.28
Hg  0.2399  0.5000  0.0653  2 Pb 3.05, 2 Hg 3.22-3.26
Hg  0.4142  0.0000  0.6033  3 Hg 3.18-3.26, 1 Pb 3.21
Pb  0.3939  0.0000  0.2255  4 Hg 3.05-3.28

Summary:
Total DFT energy (no corrections)   -1.32 eV/atom



No. 4
Density functional theory data (GGA-PBE) for an optimized crystal structure of LiDyPuGe.

a = 7.1451 Å, b = 7.1451 Å, c = 7.1451 Å
α = 90.00°, β = 90.00°, γ = 90.00°
Closest atoms and distances in Å follow each position.
Space group F-43m (No. 216)
Unique sites:
Li  0.0000  0.0000  0.0000  4 Pu 3.09, 4 Dy 3.09
Dy  0.2500  0.2500  0.7500  4 Li 3.09, 4 Ge 3.09
Pu  0.2500  0.2500  0.2500  4 Ge 3.09, 4 Li 3.09
Ge  0.0000  0.0000  0.5000  4 Dy 3.09, 4 Pu 3.09

Summary:
Total DFT energy (no corrections)   -6.59 eV/atom



No. 5
Density functional theory data (GGA-PBE) for an optimized crystal structure of Er4CdIr2.

a = 6.8690 Å, b = 6.8745 Å, c = 8.4826 Å
α = 107.94°, β = 107.92°, γ = 103.86°
Closest atoms and distances in Å follow each position.
Space group P1 (No. 1)
Unique sites:
Er  0.0000  0.0000  0.0000  3 Ir 2.76-2.96, 1 Cd 3.00
Er  0.0414  0.0177  0.5622  3 Ir 2.81-2.93, 1 Cd 3.05
Er  0.1183  0.5944  0.7157  3 Ir 2.81-2.93, 1 Cd 3.05
Er  0.3711  0.5752  0.1306  4 Ir 2.81-3.02
Er  0.5457  0.8749  0.5976  3 Ir 2.79-2.95, 1 Cd 3.07
Er  0.5875  0.4166  0.6811  3 Ir 2.79-2.95, 1 Cd 3.07
Er  0.6391  0.1394  0.2784  3 Ir 2.76-2.96, 1 Cd 3.00
Er  0.8796  0.5834  0.1477  4 Ir 2.81-3.02
Cd  0.1744  0.3648  0.3713  1 Ir 2.95, 5 Er 3.00-3.29
Cd  0.4414  0.1326  0.9070  1 Ir 2.95, 5 Er 3.00-3.29
Ir  0.2684  0.9585  0.3262  6 Er 2.76-3.02, 1 Cd 2.95
Ir  0.5814  0.7719  0.9521  6 Er 2.76-3.02, 1 Cd 2.95
Ir  0.7328  0.5938  0.4435  7 Er 2.79-2.97
Ir  0.9287  0.2895  0.8348  7 Er 2.79-2.97

Summary:
Total DFT energy (no corrections)   -5.90 eV/atom



No. 6
Density functional theory data (GGA-PBE) for an optimized crystal structure of NaCuO2.

a = 4.4394 Å, b = 4.4394 Å, c = 8.6274 Å
α = 90.00°, β = 90.00°, γ = 90.00°
Closest atoms and distances in Å follow each position.
Space group I4_1/amd (No. 141, origin choice 2)
Unique sites:
Na  0.0000  0.2500  0.3750  6 O 2.24-2.46
Cu  0.0000  0.2500  0.8750  2 O 1.85
O  0.0000  0.2500  0.0895  1 Cu 1.85

Summary:
Total DFT energy (no corrections)   -4.67 eV/atom